Entry 1:
Material: La2Y4Tm
Method: DFT, PBE-GGA
State: relaxed

Cell and atoms, written as POSCAR:
```
La2Y4Tm
1.0
-4.3657 -6.2798 -4.7694
0.8371 -4.6805 7.6535
-4.6731 7.2259 -2.6702
La Y Tm
4 8 2
Cartesian
-6.3647 0.4035 -1.4845
-4.6462 -1.4741 -3.8187
-3.6253 -3.8474 -0.7256
-3.7719 2.9021 0.3155
-4.6015 -4.4808 -4.2393
-2.1865 -3.4646 2.2206
-6.7503 -3.1068 -1.4746
-7.0116 0.4405 -5.3959
-2.4222 -0.0345 -1.6329
-4.7554 2.3126 -3.2095
-5.0127 -0.8396 1.4103
-4.9200 -7.5947 0.3047
-1.8696 -0.1159 2.2536
-4.7858 5.3326 -2.7741
```

***

Entry 2:
La4Y8Tm3 | the Alexandria database | PBE-GGA | relaxed; distance to the lowest polymorph of the same formula = 0.0 meV per atom
1.0
6.1745 0.0000 3.3301
2.1893 5.7734 3.3301
-2.5963 -1.7922 12.2034
La Y Tm
4 8 3
Cartesian
0.0000 0.0000 0.0000
0.2334 0.1611 14.3460
2.8838 1.9906 9.4318
5.5342 3.8201 4.5175
1.3409 0.9256 4.9032
2.4984 3.8713 6.4246
5.6083 3.8713 8.1019
4.5056 0.9634 6.4246
4.4267 3.0557 13.9603
3.2692 0.1099 12.4389
0.1593 0.1099 10.7617
1.2620 3.0178 12.4389
1.7891 -0.8961 7.7667
-1.2981 -0.8961 6.1017
-0.2035 1.9906 7.7667

***

Entry 3:
La2YTm8 | the Alexandria database | PBE-GGA | relaxed; distance to the lowest polymorph of the same formula = 144.6 meV per atom
1.0
-5.2419 3.7902 -1.0416
-3.5066 -3.6788 4.2607
5.7127 3.7977 5.6767
La Y Tm
2 1 8
Cartesian
-3.4469 2.2623 4.9719
0.4110 1.6468 3.9239
0.0000 0.0000 0.0000
-4.7636 2.3001 1.8083
-0.7977 3.4350 6.5857
-1.4158 4.6364 3.3893
-1.6201 -0.7273 5.5065
-2.2382 0.4741 2.3101
1.7277 1.6090 7.0875
-5.2636 -0.4442 4.2664
2.2277 4.3532 4.6294

***

Entry 4:
La2Y2Tm7 | the Alexandria database | PBE-GGA | relaxed; distance to the lowest polymorph of the same formula = 0.0 meV per atom
1.0
2.1215 -7.4221 2.2639
6.8605 -6.1447 -4.7654
0.1846 2.2538 7.7201
La Y Tm
2 2 7
Cartesian
5.3149 -4.0235 3.2857
3.8516 -7.2895 1.9330
1.6330 -3.6598 7.0699
0.6731 -1.5086 2.9142
5.2012 -5.3470 -0.8235
6.4075 -8.0505 4.3990
1.9514 -4.5745 3.7773
3.4302 -3.0723 -2.3827
7.2152 -6.7385 1.4413
3.9653 -5.9660 6.0421
2.7591 -3.2625 0.8196

***

Entry 5:
LaY2Tm | the Alexandria database | PBE-GGA | relaxed; distance to the lowest polymorph of the same formula = 17.9 meV per atom
1.0
-1.5982 -1.1566 4.7418
4.8156 -0.5463 1.4898
0.1689 4.9098 1.2545
Y Tm La
2 1 1
Cartesian
0.0844 2.4549 0.6272
2.4078 -0.2732 0.7449
1.6931 1.6034 3.7431
-0.7991 -0.5783 2.3709

***

Entry 6:
Material: La3Y2Tm7
Method: DFT, PBE-GGA
State: relaxed

Cell and atoms, written as POSCAR:
```
La3Y2Tm7
1.0
3.5343 0.0000 0.0000
0.0000 6.2793 -0.7926
0.0000 -2.1191 17.8662
La Y Tm
3 2 7
Cartesian
1.7671 3.1397 -0.3963
0.0000 4.8511 5.3957
0.0000 -0.6909 11.6780
1.7671 1.6911 5.5045
1.7671 2.4692 11.5692
1.7671 0.5017 8.7452
1.7671 3.6585 8.3284
0.0000 2.3816 2.5948
0.0000 0.0000 0.0000
0.0000 1.7786 14.4788
1.7671 -1.4083 14.8795
1.7671 5.5685 2.1941
```

***

Formation energy from the elements across the listed records, respectively: 0.1727; 0.1147; 0.1827; 0.1560; 0.0372; 0.0983 eV/atom.
Spin magnetization across the listed records, respectively: 0.00; 0.00; 0.00; 0.00; 0.00; 0.00 Bohr magnetons per cell.
Final energy across the listed records, respectively: -0.409; -0.407; -0.335; -0.350; -0.408; -0.354 Ry/atom.